A plane-wave DFT calculation with GGA-PBE was carried out for an optimized crystal structure of BaMo3Pt.

Volume = 123.6 Å³/cell
Energy of formation from the pure elements = 1.45 eV/atom
VASP energy = -33.21 eV for the cell shown

Structure (CIF):
```
data_BaMo3Pt
_chemical_formula_sum 'Ba1 Mo3 Pt1'
_cell_length_a 4.9808
_cell_length_b 4.9808
_cell_length_c 4.9808
_cell_angle_alpha 90.00
_cell_angle_beta 90.00
_cell_angle_gamma 90.00
_symmetry_space_group_name_H-M 'P 1'
_symmetry_Int_Tables_number 1
loop_
_symmetry_equiv_pos_as_xyz
'x,y,z'
loop_
_atom_site_label
_atom_site_type_symbol
_atom_site_fract_x
_atom_site_fract_y
_atom_site_fract_z
_atom_site_occupancy
Mo1 Mo 0.0000 0.0000 0.5000 1
Mo2 Mo 0.5000 0.0000 0.0000 1
Mo3 Mo 0.0000 0.5000 0.0000 1
Ba1 Ba 0.5000 0.5000 0.5000 1
Pt1 Pt 0.0000 0.0000 0.0000 1
```

A plane-wave DFT calculation with GGA-PBE was carried out for an optimized crystal structure of Pr5ErBi4.

Volume = 374.9 Å³/cell
Energy of formation from the pure elements = -0.56 eV/atom
VASP energy = -49.56 eV for the cell shown

Structure (CIF):
```
data_Pr5ErBi4
_chemical_formula_sum 'Pr5 Er1 Bi4'
_cell_length_a 4.5083
_cell_length_b 8.8122
_cell_length_c 10.0471
_cell_angle_alpha 105.05
_cell_angle_beta 102.97
_cell_angle_gamma 90.00
_symmetry_space_group_name_H-M 'P 1'
_symmetry_Int_Tables_number 1
loop_
_symmetry_equiv_pos_as_xyz
'x,y,z'
loop_
_atom_site_label
_atom_site_type_symbol
_atom_site_fract_x
_atom_site_fract_y
_atom_site_fract_z
_atom_site_occupancy
Pr1 Pr 0.8234 0.6486 0.6468 1
Pr2 Pr 0.8350 0.1798 0.6699 1
Bi1 Bi 0.6658 0.0835 0.3315 1
Bi2 Bi 0.3342 0.9165 0.6685 1
Er1 Er 0.5000 0.0000 0.0000 1
Pr3 Pr 0.1650 0.8202 0.3301 1
Bi3 Bi 0.0067 0.2473 0.0133 1
Bi4 Bi 0.9933 0.7527 0.9867 1
Pr4 Pr 0.1766 0.3514 0.3532 1
Pr5 Pr 0.5000 0.5000 0.0000 1
```

A plane-wave DFT calculation with GGA-PBE was carried out for an optimized crystal structure of Cs2H5Pd.

Volume = 164.3 Å³/cell
VASP energy = -25.23 eV for the cell shown

Structure (CIF):
```
data_Cs2H5Pd
_chemical_formula_sum 'Cs2 H5 Pd1'
_cell_length_a 3.9689
_cell_length_b 6.4333
_cell_length_c 6.4333
_cell_angle_alpha 90.00
_cell_angle_beta 90.00
_cell_angle_gamma 90.00
_symmetry_space_group_name_H-M 'P 1'
_symmetry_Int_Tables_number 1
loop_
_symmetry_equiv_pos_as_xyz
'x,y,z'
loop_
_atom_site_label
_atom_site_type_symbol
_atom_site_fract_x
_atom_site_fract_y
_atom_site_fract_z
_atom_site_occupancy
Pd1 Pd 0.0000 0.0000 0.0000 1
Cs1 Cs 0.5000 0.0000 0.5000 1
H1 H 0.0000 0.8166 0.1834 1
H2 H 0.0000 0.8166 0.8166 1
H3 H 0.5000 0.0000 0.0000 1
H4 H 0.0000 0.1834 0.1834 1
H5 H 0.0000 0.1834 0.8166 1
Cs2 Cs 0.5000 0.5000 0.0000 1
```

A plane-wave DFT calculation with GGA-PBE was carried out for an optimized crystal structure of BaAcCu2P2.

Volume = 136.7 Å³/cell
Energy of formation from the pure elements = -0.82 eV/atom
VASP energy = -29.98 eV for the cell shown

Structure (CIF):
```
data_BaAcCu2P2
_chemical_formula_sum 'Ba1 Ac1 Cu2 P2'
_cell_length_a 4.1554
_cell_length_b 4.1554
_cell_length_c 9.1414
_cell_angle_alpha 90.00
_cell_angle_beta 90.00
_cell_angle_gamma 120.00
_symmetry_space_group_name_H-M 'P 1'
_symmetry_Int_Tables_number 1
loop_
_symmetry_equiv_pos_as_xyz
'x,y,z'
loop_
_atom_site_label
_atom_site_type_symbol
_atom_site_fract_x
_atom_site_fract_y
_atom_site_fract_z
_atom_site_occupancy
P1 P 0.3333 0.6667 0.2380 1
Cu1 Cu 0.6667 0.3333 0.2341 1
Ba1 Ba 0.0000 0.0000 0.5000 1
Ac1 Ac 0.0000 0.0000 0.0000 1
P2 P 0.6667 0.3333 0.7620 1
Cu2 Cu 0.3333 0.6667 0.7659 1
```